# 1
VASP calculation (PBE) on a geometry-optimized LiLa2In6Rh structure.

Values from the calculation:
space group: R-3m (166)
size of the total moment: 0.00 μB per formula unit
total energy: -3.848 eV/atom

Geometry as extended XYZ:
```
10
Lattice="3.567 2.059 5.812 -3.567 2.059 5.812 0.000 -4.118 5.812" Properties=species:S:1:pos:R:3 pbc="T T T"
Li 0.000 0.000 0.000
La 0.000 0.000 4.360
La 0.000 0.000 13.077
In 0.000 -2.124 7.220
In -1.840 1.062 7.220
In -1.840 -1.062 10.217
In 1.840 1.062 7.220
In 1.840 -1.062 10.217
In 0.000 2.124 10.217
Rh 0.000 0.000 8.719
```

***

# 2
VASP calculation (PBE) on a geometry-optimized Li2La2InRh5 structure.

Values from the calculation:
space group: P4/mbm (127)
size of the total moment: 0.00 μB per formula unit
total energy: -5.802 eV/atom

Geometry as extended XYZ:
```
20
Lattice="9.542 0.000 0.000 0.000 9.542 0.000 0.000 0.000 3.785" Properties=species:S:1:pos:R:3 pbc="T T T"
Li 1.116 3.655 0.000
Li 3.655 8.426 0.000
Li 5.887 1.116 0.000
Li 8.426 5.887 0.000
La 1.700 6.471 0.000
La 3.071 1.700 0.000
La 6.471 7.842 0.000
La 7.842 3.071 0.000
In 0.000 0.000 0.000
In 4.771 4.771 0.000
Rh 0.000 4.771 1.893
Rh 0.682 2.010 1.893
Rh 2.010 8.860 1.893
Rh 2.760 4.089 1.893
Rh 4.089 6.781 1.893
Rh 4.771 0.000 1.893
Rh 5.453 2.760 1.893
Rh 6.781 5.453 1.893
Rh 7.531 0.682 1.893
Rh 8.860 7.531 1.893
```

***

# 3
VASP calculation (PBE) on a geometry-optimized LiLa2In2Rh5 structure.

Values from the calculation:
space group: P4/mbm (127)
size of the total moment: 0.00 μB per formula unit
total energy: -5.715 eV/atom

Geometry as extended XYZ:
```
20
Lattice="10.430 0.000 0.000 0.000 10.430 0.000 0.000 0.000 3.616" Properties=species:S:1:pos:R:3 pbc="T T T"
Li 0.000 0.000 0.000
Li 5.215 5.215 0.000
La 1.755 3.460 0.000
La 3.460 8.674 0.000
La 6.970 1.755 0.000
La 8.674 6.970 0.000
In 1.375 6.590 0.000
In 3.840 1.375 0.000
In 6.590 9.055 0.000
In 9.055 3.840 0.000
Rh 0.000 5.215 1.808
Rh 0.357 8.347 1.808
Rh 2.083 0.357 1.808
Rh 3.132 5.572 1.808
Rh 4.858 3.132 1.808
Rh 5.215 0.000 1.808
Rh 5.572 7.298 1.808
Rh 7.298 4.858 1.808
Rh 8.347 10.073 1.808
Rh 10.073 2.083 1.808
```

***

# 4
VASP calculation (PBE) on a geometry-optimized LiLa2InRu structure.

Values from the calculation:
energy relative to the lowest polymorph listed for this composition: 0.0 kJ per mole of atoms
space group: P4/mmm (123)
size of the total moment: 0.00 μB per formula unit
total energy: -4.966 eV/atom

Geometry as extended XYZ:
```
5
Lattice="5.426 0.000 0.000 0.000 5.426 0.000 0.000 0.000 5.342" Properties=species:S:1:pos:R:3 pbc="T T T"
Li 0.000 0.000 0.000
La 0.000 2.713 2.671
La 2.713 0.000 2.671
In 2.713 2.713 0.000
Ru 2.713 2.713 2.671
```

***

# 5
VASP calculation (PBE) on a geometry-optimized LiLa2InRu structure.

Values from the calculation:
energy relative to the lowest polymorph listed for this composition: 4.5 kJ per mole of atoms
space group: P4/mmm (123)
size of the total moment: 0.00 μB per formula unit
total energy: -4.920 eV/atom

Geometry as extended XYZ:
```
5
Lattice="5.318 0.000 0.000 0.000 5.318 0.000 0.000 0.000 5.025" Properties=species:S:1:pos:R:3 pbc="T T T"
Li 0.000 0.000 0.000
La 0.000 2.659 2.512
La 2.659 0.000 2.512
In 2.659 2.659 0.000
Ru 0.000 0.000 2.512
```

***

# 6
VASP calculation (PBE) on a geometry-optimized LiLa2InS structure.

Values from the calculation:
space group: P4/mmm (123)
size of the total moment: 0.00 μB per formula unit
total energy: -4.680 eV/atom

Geometry as extended XYZ:
```
5
Lattice="5.645 0.000 0.000 0.000 5.645 0.000 0.000 0.000 4.470" Properties=species:S:1:pos:R:3 pbc="T T T"
Li 0.000 0.000 0.000
La 0.000 2.823 2.235
La 2.823 0.000 2.235
In 2.823 2.823 0.000
S 0.000 0.000 2.235
```

***

# 7
VASP calculation (PBE) on a geometry-optimized Li2La2ScIn5 structure.

Values from the calculation:
space group: P4/mbm (127)
size of the total moment: 0.00 μB per formula unit
total energy: -3.804 eV/atom

Geometry as extended XYZ:
```
20
Lattice="10.335 0.000 0.000 0.000 10.335 0.000 0.000 0.000 4.533" Properties=species:S:1:pos:R:3 pbc="T T T"
Li 1.182 3.985 0.000
Li 3.985 9.153 0.000
Li 6.350 1.182 0.000
Li 9.153 6.350 0.000
La 1.872 7.040 0.000
La 3.295 1.872 0.000
La 7.040 8.463 0.000
La 8.463 3.295 0.000
Sc 0.000 0.000 0.000
Sc 5.168 5.168 0.000
In 0.000 5.168 2.267
In 0.635 2.122 2.267
In 2.122 9.700 2.267
In 3.046 4.532 2.267
In 4.532 7.290 2.267
In 5.168 0.000 2.267
In 5.803 3.046 2.267
In 7.290 5.803 2.267
In 8.213 0.635 2.267
In 9.700 8.213 2.267
```

***

# 8
VASP calculation (PBE) on a geometry-optimized LiLa2InSe5 structure.

Values from the calculation:
space group: Cmc2_1 (36)
size of the total moment: 0.00 μB per formula unit
total energy: -5.034 eV/atom

Geometry as extended XYZ:
```
18
Lattice="2.099 -9.048 0.000 2.099 9.048 0.000 0.000 0.000 12.161" Properties=species:S:1:pos:R:3 pbc="T T T"
Li 2.099 5.050 6.081
Li 2.099 -5.050 0.000
La 2.099 6.771 1.966
La 2.099 6.721 9.539
La 2.099 -6.721 3.458
La 2.099 -6.771 8.047
In 2.099 1.387 11.515
In 2.099 -1.387 5.435
Se 2.099 8.366 6.794
Se 2.099 3.660 1.695
Se 2.099 3.535 10.005
Se 2.099 2.532 5.808
Se 2.099 0.072 9.221
Se 2.099 -0.072 3.140
Se 2.099 -2.532 11.888
Se 2.099 -3.535 3.924
Se 2.099 -3.660 7.776
Se 2.099 -8.366 0.713
```